Below is a relaxed RbTeWN2 crystal, with properties calculated at the PBE-GGA level.

E: -6.236 eV/atom
Excess energy over the best structure of this formula in the dataset: 0.00 kcal/mol of atoms
ΔE_f (raw): 48.8 kJ/mol of atoms

Unit cell a=4.1918 b=4.1918 c=5.4816 alpha=90.00 beta=90.00 gamma=90.00
Closest atoms and distances in Å follow each position.
Positions (direct):
N (0.0000, 0.5000, 0.0000)  2 W 2.10
Te (0.0000, 0.0000, 0.5000)  2 W 2.74, 4 Rb 2.96
Rb (0.5000, 0.5000, 0.5000)  4 Te 2.96
W (0.0000, 0.0000, 0.0000)  4 N 2.10
N (0.5000, 0.0000, 0.0000)  2 W 2.10

Below is a relaxed RbTe2WN crystal, with properties calculated at the PBE-GGA level.

E: -5.700 eV/atom
Excess energy over the best structure of this formula in the dataset: 0.00 kcal/mol of atoms
ΔE_f (raw): 0.6 kJ/mol of atoms

Unit cell a=5.7048 b=5.7048 c=3.8900 alpha=90.00 beta=90.00 gamma=90.00
Closest atoms and distances in Å follow each position.
Positions (direct):
N (0.0000, 0.0000, 0.5000)  2 W 1.94
W (0.0000, 0.0000, 0.0000)  2 N 1.94
Te (0.0000, 0.5000, 0.0000)  2 W 2.85
Te (0.5000, 0.0000, 0.0000)  2 W 2.85
Rb (0.5000, 0.5000, 0.5000)  8 Te 3.45

Below is a relaxed RbTeWN2 crystal, with properties calculated at the PBE-GGA level.

E: -3.684 eV/atom
Excess energy over the best structure of this formula in the dataset: 58.87 kcal/mol of atoms
ΔE_f (raw): 295.1 kJ/mol of atoms

Unit cell a=4.8403 b=4.8403 c=7.7673 alpha=90.00 beta=90.00 gamma=90.00
Closest atoms and distances in Å follow each position.
Positions (direct):
W (0.5000, 0.5000, 0.5000)  4 Te 3.42
N (0.0000, 0.5000, 0.0000)  2 Rb 2.42
Rb (0.0000, 0.0000, 0.0000)  4 N 2.42
N (0.5000, 0.0000, 0.0000)  2 Rb 2.42
Te (0.0000, 0.0000, 0.5000)  4 W 3.42

Below is a relaxed RbYTeN2 crystal, with properties calculated at the PBE-GGA level.

E: -5.120 eV/atom
Excess energy over the best structure of this formula in the dataset: 0.00 kcal/mol of atoms
ΔE_f (raw): 31.3 kJ/mol of atoms

Unit cell a=4.8676 b=4.8676 c=6.0621 alpha=90.00 beta=90.00 gamma=90.00
Closest atoms and distances in Å follow each position.
Positions (direct):
N (0.5000, 0.0000, 0.0000)  2 Y 2.43
Y (0.0000, 0.0000, 0.0000)  4 N 2.43
Te (0.0000, 0.0000, 0.5000)  2 Y 3.03
N (0.0000, 0.5000, 0.0000)  2 Y 2.43
Rb (0.5000, 0.5000, 0.5000)  4 Te 3.44

Below is a relaxed RbYTeN2 crystal, with properties calculated at the PBE-GGA level.

E: -3.830 eV/atom
Excess energy over the best structure of this formula in the dataset: 29.75 kcal/mol of atoms
ΔE_f (raw): 155.8 kJ/mol of atoms

Unit cell a=4.5295 b=4.5295 c=6.4531 alpha=90.00 beta=90.00 gamma=90.00
Closest atoms and distances in Å follow each position.
Positions (direct):
Rb (0.0000, 0.0000, 0.0000)  4 N 2.26
Te (0.0000, 0.0000, 0.5000)  4 Y 3.20, 2 Rb 3.23
N (0.0000, 0.5000, 0.0000)  2 Rb 2.26
N (0.5000, 0.0000, 0.0000)  2 Rb 2.26
Y (0.5000, 0.5000, 0.5000)  4 Te 3.20

Below is a relaxed RbYTeN crystal, with properties calculated at the PBE-GGA level.

E: -5.453 eV/atom
Excess energy over the best structure of this formula in the dataset: 2.70 kcal/mol of atoms
ΔE_f (raw): -70.3 kJ/mol of atoms

Unit cell a=8.4439 b=3.5242 c=8.4245 alpha=90.00 beta=108.64 gamma=90.00
Closest atoms and distances in Å follow each position.
Positions (direct):
N (0.0728, 0.5000, 0.5628)  2 Y 2.15
Y (0.9231, 0.5000, 0.9777)  2 N 2.15
Rb (0.3049, 0.0000, 0.8456)  3 N 3.08-3.10
N (0.0728, 0.0000, 0.0628)  2 Y 2.15
Te (0.6637, 0.5000, 0.1732)  3 Y 3.13-3.30
Te (0.6637, 0.0000, 0.6732)  3 Y 3.13-3.30
Rb (0.3049, 0.5000, 0.3456)  3 N 3.08-3.10
Y (0.9231, 0.0000, 0.4777)  2 N 2.15

Below is a relaxed RbYTeN crystal, with properties calculated at the PBE-GGA level.

E: -5.512 eV/atom
Excess energy over the best structure of this formula in the dataset: 1.32 kcal/mol of atoms
ΔE_f (raw): -76.0 kJ/mol of atoms

Unit cell a=3.6504 b=3.6504 c=8.8743 alpha=90.00 beta=90.00 gamma=120.00
Closest atoms and distances in Å follow each position.
Positions (direct):
Y (0.3333, 0.6667, 0.9138)  3 N 2.29
N (0.0000, 0.0000, 0.8140)  3 Y 2.29
Rb (0.6667, 0.3333, 0.5647)  3 N 3.06
Te (0.0000, 0.0000, 0.2180)  3 Y 3.43, 1 N 3.59, 6 Te 3.65, 3 Rb 3.73

Below is a relaxed RbYTeN crystal, with properties calculated at the PBE-GGA level.

E: -5.440 eV/atom
Excess energy over the best structure of this formula in the dataset: 3.00 kcal/mol of atoms
ΔE_f (raw): -69.0 kJ/mol of atoms

Unit cell a=3.5159 b=4.6220 c=8.2051 alpha=101.52 beta=90.25 gamma=112.34
Closest atoms and distances in Å follow each position.
Positions (direct):
Te (0.6744, 0.3470, 0.7952)  3 Y 3.14-3.31, 2 Te 3.52
N (0.9969, 0.9832, 0.2055)  2 Y 2.15
Y (0.4535, 0.8993, 0.0523)  2 N 2.15
Rb (0.3037, 0.6161, 0.4366)  3 N 2.95-3.26

Below is a relaxed RbYTeN crystal, with properties calculated at the PBE-GGA level.

E: -5.570 eV/atom
Excess energy over the best structure of this formula in the dataset: 0.00 kcal/mol of atoms
ΔE_f (raw): -81.5 kJ/mol of atoms

Unit cell a=8.9435 b=3.7485 c=6.2972 alpha=90.00 beta=103.75 gamma=90.00
Closest atoms and distances in Å follow each position.
Positions (direct):
Y (0.9163, 0.5000, 0.0183)  3 N 2.28-2.30
N (0.8186, 0.5000, 0.6500)  3 Y 2.28-2.30
Te (0.2120, 0.5000, 0.4554)  3 Y 3.33-3.34, 4 Te 3.66, 3 Rb 3.72-3.73
Rb (0.5634, 0.0000, 0.7337)  3 N 3.04-3.09
Y (0.9163, 0.0000, 0.5183)  3 N 2.28-2.30
Te (0.2120, 0.0000, 0.9554)  3 Y 3.33-3.34, 4 Te 3.66, 3 Rb 3.72-3.73
N (0.8186, 0.0000, 0.1500)  3 Y 2.28-2.30
Rb (0.5634, 0.5000, 0.2337)  3 N 3.04-3.09

Below is a relaxed Rb2YTeN crystal, with properties calculated at the PBE-GGA level.

E: -3.144 eV/atom
ΔE_f (raw): 80.0 kJ/mol of atoms

Unit cell a=7.5930 b=4.1263 c=7.5930 alpha=90.00 beta=90.00 gamma=90.00
Closest atoms and distances in Å follow each position.
Positions (direct):
Y (0.5000, 0.5000, 0.5000)  2 Y 4.13, 8 Rb 4.32
Rb (0.5000, 0.0000, 0.0000)  2 Te 3.80, 2 Rb 4.13
Te (0.0000, 0.0000, 0.0000)  2 N 2.06
Rb (0.0000, 0.0000, 0.5000)  2 Te 3.80, 2 Rb 4.13
N (0.0000, 0.5000, 0.0000)  2 Te 2.06

Below is a relaxed RbZnTe2N crystal, with properties calculated at the PBE-GGA level.

E: -3.007 eV/atom
Excess energy over the best structure of this formula in the dataset: 0.00 kcal/mol of atoms
ΔE_f (raw): 35.1 kJ/mol of atoms

Unit cell a=6.3989 b=6.3989 c=3.5874 alpha=90.00 beta=90.00 gamma=90.00
Closest atoms and distances in Å follow each position.
Positions (direct):
N (0.0000, 0.0000, 0.5000)  2 Zn 1.79
Zn (0.0000, 0.0000, 0.0000)  2 N 1.79
Te (0.0000, 0.5000, 0.0000)  2 Zn 3.20
Te (0.5000, 0.0000, 0.0000)  2 Zn 3.20
Rb (0.5000, 0.5000, 0.5000)  2 Rb 3.59, 8 Te 3.67

Below is a relaxed RbZnTe2N crystal, with properties calculated at the PBE-GGA level.

E: -1.845 eV/atom
Excess energy over the best structure of this formula in the dataset: 26.79 kcal/mol of atoms
ΔE_f (raw): 147.2 kJ/mol of atoms

Unit cell a=7.0528 b=7.0528 c=5.6299 alpha=90.00 beta=90.00 gamma=90.00
Closest atoms and distances in Å follow each position.
Positions (direct):
Te (0.5000, 0.0000, 0.0000)  2 Rb 3.53
Rb (0.0000, 0.0000, 0.0000)  2 N 2.81
Zn (0.5000, 0.5000, 0.5000)  8 Te 4.51, 4 N 4.99
Te (0.0000, 0.5000, 0.0000)  2 Rb 3.53
N (0.0000, 0.0000, 0.5000)  2 Rb 2.81

Below is a relaxed RbZrTe2N crystal, with properties calculated at the PBE-GGA level.

E: -3.214 eV/atom
Excess energy over the best structure of this formula in the dataset: 46.42 kcal/mol of atoms
ΔE_f (raw): 155.4 kJ/mol of atoms

Unit cell a=6.0027 b=6.0027 c=4.3372 alpha=90.00 beta=90.00 gamma=90.00
Closest atoms and distances in Å follow each position.
Positions (direct):
Te (0.5000, 0.0000, 0.0000)  2 Rb 3.00
Zr (0.5000, 0.5000, 0.5000)  8 Te 3.70
Te (0.0000, 0.5000, 0.0000)  2 Rb 3.00
N (0.0000, 0.0000, 0.5000)  2 Rb 2.17
Rb (0.0000, 0.0000, 0.0000)  2 N 2.17

Below is a relaxed RbZrTe2N crystal, with properties calculated at the PBE-GGA level.

E: -5.227 eV/atom
Excess energy over the best structure of this formula in the dataset: 0.00 kcal/mol of atoms
ΔE_f (raw): -38.8 kJ/mol of atoms

Unit cell a=6.1648 b=6.1648 c=3.9930 alpha=90.00 beta=90.00 gamma=90.00
Closest atoms and distances in Å follow each position.
Positions (direct):
Rb (0.5000, 0.5000, 0.5000)  8 Te 3.67, 2 Rb 3.99
Te (0.5000, 0.0000, 0.0000)  2 Zr 3.08
N (0.0000, 0.0000, 0.5000)  2 Zr 2.00
Te (0.0000, 0.5000, 0.0000)  2 Zr 3.08
Zr (0.0000, 0.0000, 0.0000)  2 N 2.00